No. 1
Computed, not measured: a relaxed structure of ScInI4 at the PBE level of DFT.

Computed properties:
Uncorrected formation energy = -962 meV/atom
Distance to the lowest polymorph of the same formula = 0 kJ/mol of formula units

Cell lengths 9.5298, 9.5298, 9.5298 Å; angles 126.64, 116.28, 87.74 degrees
Closest atoms and distances in Å follow each position.
Element x y z (fractional)
Sc 0.5000 0.0000 0.0000  6 I 2.85-2.96
Sc 0.5000 0.5000 0.5000  6 I 2.85-2.96
In 0.0000 0.0000 0.0000  6 I 3.42-3.46
In 0.5000 0.0000 0.5000  6 I 3.42-3.46
I 0.2930 0.3045 0.5115  1 Sc 2.85
I 0.2930 0.7816 0.9885  1 Sc 2.85
I 0.2957 0.2494 0.0463  2 Sc 2.96
I 0.2969 0.7506 0.5463  2 Sc 2.96
I 0.7031 0.2494 0.4537  2 Sc 2.96
I 0.7043 0.7506 0.9537  2 Sc 2.96
I 0.7070 0.2184 0.0115  1 Sc 2.85
I 0.7070 0.6955 0.4885  1 Sc 2.85

No. 2
Computed, not measured: a relaxed structure of NpBe2SiH2 at the PBE level of DFT.

Computed properties:
Energy = -63.80 eV/cell

Cell lengths 5.4080, 4.2788, 5.9182 Å; angles 90.00, 109.36, 90.00 degrees
Closest atoms and distances in Å follow each position.
Element x y z (fractional)
Np 0.0566 0.2500 0.4096  1 H 2.13
Np 0.9434 0.7500 0.5904  1 H 2.13
Be 0.4711 0.5037 0.8136  2 H 1.48-1.54
Be 0.4711 0.9963 0.8136  2 H 1.48-1.54
Be 0.5289 0.0037 0.1864  2 H 1.48-1.54
Be 0.5289 0.4963 0.1864  2 H 1.48-1.54
Si 0.1540 0.2500 0.9442  4 Be 2.31-2.37
Si 0.8460 0.7500 0.0558  4 Be 2.31-2.37
H 0.3471 0.7500 0.6201  2 Be 1.54
H 0.4805 0.7500 0.3377  2 Be 1.48
H 0.5195 0.2500 0.6623  2 Be 1.48
H 0.6529 0.2500 0.3799  2 Be 1.54

No. 3
Computed, not measured: a relaxed structure of Sm3Ag2Au3 at the PBE level of DFT.

Computed properties:
Energy relative to the elements = -0.56 eV per atom

Cell lengths 8.7415, 8.7415, 5.9075 Å; angles 90.00, 90.00, 120.00 degrees
Closest atoms and distances in Å follow each position.
Element x y z (fractional)
Sm 0.0000 0.2843 0.2500  5 Au 2.97-3.06
Sm 0.0000 0.7157 0.7500  5 Au 2.97-3.06
Sm 0.2843 0.0000 0.2500  5 Au 2.97-3.06
Sm 0.2843 0.2843 0.7500  5 Au 2.97-3.06
Sm 0.7157 0.0000 0.7500  5 Au 2.97-3.06
Sm 0.7157 0.7157 0.2500  5 Au 2.97-3.06
Ag 0.3333 0.6667 0.0000  2 Ag 2.95, 6 Au 3.12
Ag 0.3333 0.6667 0.5000  2 Ag 2.95, 6 Au 3.12
Ag 0.6667 0.3333 0.0000  2 Ag 2.95, 6 Au 3.12
Ag 0.6667 0.3333 0.5000  2 Ag 2.95, 6 Au 3.12
Au 0.0000 0.3763 0.7500  5 Sm 2.97-3.06, 4 Ag 3.12
Au 0.0000 0.6237 0.2500  5 Sm 2.97-3.06, 4 Ag 3.12
Au 0.3763 0.0000 0.7500  5 Sm 2.97-3.06, 4 Ag 3.12
Au 0.3763 0.3763 0.2500  5 Sm 2.97-3.06, 4 Ag 3.12
Au 0.6237 0.0000 0.2500  5 Sm 2.97-3.06, 4 Ag 3.12
Au 0.6237 0.6237 0.7500  5 Sm 2.97-3.06, 4 Ag 3.12

No. 4
Computed, not measured: a relaxed structure of KHf3Ni at the PBE level of DFT.

Computed properties:
Distance to the lowest polymorph of the same formula = 0 kJ/mol of formula units
Energy relative to the elements = 0.66 eV per atom

Cell lengths 5.0002, 5.0002, 5.0002 Å; angles 90.00, 90.00, 90.00 degrees
Closest atoms and distances in Å follow each position.
Element x y z (fractional)
K 0.0000 0.0000 0.0000  12 Hf 3.54
Hf 0.0000 0.5000 0.5000  2 Ni 2.50
Hf 0.5000 0.0000 0.5000  2 Ni 2.50
Hf 0.5000 0.5000 0.0000  2 Ni 2.50
Ni 0.5000 0.5000 0.5000  6 Hf 2.50

No. 5
Computed, not measured: a relaxed structure of Sm2HRu at the PBE level of DFT.

Computed properties:
Distance to the lowest polymorph of the same formula = 0 kJ/mol of formula units

Cell lengths 7.2803, 7.2803, 7.1695 Å; angles 110.75, 110.75, 28.62 degrees
Closest atoms and distances in Å follow each position.
Element x y z (fractional)
Sm 0.0189 0.0189 0.2537  2 H 2.31-2.38
Sm 0.2858 0.2858 0.2396  2 H 2.37
Sm 0.7142 0.7142 0.7604  2 H 2.37
Sm 0.9811 0.9811 0.7463  2 H 2.31-2.38
H 0.1063 0.1063 0.5959  4 Sm 2.31-2.38
H 0.8937 0.8937 0.4041  4 Sm 2.31-2.38
Ru 0.3838 0.3838 0.9520  7 Sm 2.87-2.96, 1 Ru 3.09
Ru 0.6162 0.6162 0.0480  7 Sm 2.87-2.96, 1 Ru 3.09

No. 6
Computed, not measured: a relaxed structure of Sn3SeI at the PBE level of DFT.

Computed properties:
Uncorrected formation energy = 309 meV/atom
Distance to the lowest polymorph of the same formula = 0 kJ/mol of formula units

Cell lengths 5.6973, 5.6973, 5.6973 Å; angles 90.00, 90.00, 90.00 degrees
Closest atoms and distances in Å follow each position.
Element x y z (fractional)
Sn 0.0000 0.0000 0.5000  2 Se 2.85
Sn 0.0000 0.5000 0.0000  2 Se 2.85
Sn 0.5000 0.0000 0.0000  2 Se 2.85
Se 0.0000 0.0000 0.0000  6 Sn 2.85
I 0.5000 0.5000 0.5000  12 Sn 4.03

| no. | M_tot (μB/f.u.) |
| --- | --- |
| 1 | 0.000 |
| 2 | 2.330 |
| 3 | 0.000 |
| 4 | 0.000 |
| 5 | 0.001 |
| 6 | 1.244 |